Entry 1:
Computed, not measured: BaLaPt3 after structural relaxation at the GGA-PBE level of DFT.

Cell: 5.374 5.374 5.374 Å, 90.00 90.00 90.00°
Element x y z (fractional)
Ba 0.000 0.000 0.000
Pt 0.000 0.500 0.000
Pt 0.000 0.000 0.500
Pt 0.500 0.000 0.000
La 0.500 0.500 0.500

Properties
* polymorph energy (0 for the lowest one): 3.870 eV per formula unit
* energy of formation from the pure elements: 0.62 eV/atom
* electronic total energy: -4.38 eV per atom
* space group: No. 221

=====

Entry 2:
Computed, not measured: Ba2Li16Pm after structural relaxation at the GGA-PBE level of DFT.

Cell: 7.951 7.951 7.951 Å, 83.23 83.23 83.23°
Element x y z (fractional)
Ba 0.648 0.648 0.648
Ba 0.345 0.345 0.345
Li 0.713 0.002 0.292
Li 0.002 0.292 0.713
Li 0.292 0.713 0.002
Li 0.002 0.713 0.292
Li 0.713 0.292 0.002
Li 0.292 0.002 0.713
Li 0.339 0.860 0.339
Li 0.860 0.339 0.339
Li 0.339 0.339 0.860
Li 0.655 0.152 0.655
Li 0.152 0.655 0.655
Li 0.655 0.655 0.152
Li 0.004 0.487 0.004
Li 0.487 0.004 0.004
Li 0.004 0.004 0.487
Li 0.100 0.100 0.100
Pm 0.898 0.898 0.898

Properties
* energy of formation from the pure elements: 0.05 eV/atom
* electronic total energy: -2.02 eV per atom
* space group: No. 160

=====

Entry 3:
Computed, not measured: BeReS3 after structural relaxation at the GGA-PBE level of DFT.

Cell: 4.184 4.184 4.184 Å, 90.00 90.00 90.00°
Site moments in Bohr magnetons follow the coordinates.
Element x y z (fractional)
Be 0.000 0.000 0.000  0.01
Re 0.500 0.500 0.500  1.43
S 0.000 0.500 0.000  -0.10
S 0.000 0.000 0.500  -0.10
S 0.500 0.000 0.000  -0.10

Properties
* polymorph energy (0 for the lowest one): 0.776 eV per formula unit
* electronic total energy: -4.81 eV per atom
* space group: No. 221
* raw formation energy: 20.7 kcal/mol of atoms

=====

Entry 4:
Computed, not measured: Li2NdIn after structural relaxation at the GGA-PBE level of DFT.

Cell: 3.969 4.876 4.876 Å, 90.00 90.00 90.00°
Element x y z (fractional)
Li 0.000 0.000 0.500
Li 0.000 0.500 0.000
Nd 0.500 0.500 0.500
In 0.500 0.000 0.000

Properties
* polymorph energy (0 for the lowest one): 0.840 eV per formula unit
* energy of formation from the pure elements: -0.10 eV/atom
* electronic total energy: -2.94 eV per atom
* space group: No. 123

=====

Entry 5:
Computed, not measured: EuDySiAu after structural relaxation at the GGA-PBE level of DFT.

Cell: 5.138 5.138 5.138 Å, 60.00 60.00 60.00°
Site moments in Bohr magnetons follow the coordinates.
Element x y z (fractional)
Eu 0.250 0.250 0.250  6.81
Si 0.500 0.500 0.500  -0.02
Au 0.000 0.000 0.000  0.02
Dy 0.750 0.750 0.750  0.09

Properties
* electronic total energy: -6.53 eV per atom
* space group: No. 216
* raw formation energy: -14.7 kcal/mol of atoms

=====

Entry 6:
Computed, not measured: MgZrAgW2 after structural relaxation at the GGA-PBE level of DFT.

Cell: 4.850 5.236 4.850 Å, 90.00 90.00 90.00°
Element x y z (fractional)
Zr 0.000 0.000 0.000
Mg 0.500 0.500 0.500
Ag 0.000 0.500 0.000
W 0.000 0.000 0.500
W 0.500 0.000 0.000

Properties
* energy of formation from the pure elements: 1.93 eV/atom
* electronic total energy: -5.85 eV per atom
* space group: No. 123

=====

Entry 7:
Computed, not measured: Ca3La2PaAs6 after structural relaxation at the GGA-PBE level of DFT.

Cell: 7.500 7.500 7.277 Å, 99.96 99.96 120.07°
Element x y z (fractional)
Ca 0.171 0.829 0.500
Ca 0.829 0.171 0.500
Ca 0.500 0.500 0.500
La 0.334 0.666 0.000
La 0.666 0.334 0.000
Pa 0.000 0.000 0.000
As 0.920 0.604 0.760
As 0.765 0.765 0.240
As 0.080 0.396 0.240
As 0.604 0.920 0.760
As 0.235 0.235 0.760
As 0.396 0.080 0.240

Properties
* energy of formation from the pure elements: -1.26 eV/atom
* electronic total energy: -5.70 eV per atom
* space group: No. 12

=====

Entry 8:
Computed, not measured: Tl5O6 after structural relaxation at the GGA-PBE level of DFT.

Cell: 6.056 6.021 6.443 Å, 81.05 71.97 59.81°
Element x y z (fractional)
Tl 0.500 0.000 0.500
Tl 0.331 0.337 0.000
Tl 0.669 0.663 0.000
Tl 0.165 0.671 0.500
Tl 0.835 0.329 0.500
O 0.763 0.000 0.688
O 0.237 0.000 0.312
O 0.449 0.655 0.699
O 0.897 0.655 0.301
O 0.551 0.345 0.301
O 0.103 0.345 0.699

Properties
* electronic total energy: -4.35 eV per atom
* space group: No. 12
* raw formation energy: -13.2 kcal/mol of atoms

=====

Entry 9:
Computed, not measured: AsIrS after structural relaxation at the GGA-PBE level of DFT.

Cell: 4.982 3.834 6.265 Å, 90.00 108.17 90.00°
Element x y z (fractional)
As 0.932 0.250 0.160
As 0.068 0.750 0.840
Ir 0.744 0.250 0.747
Ir 0.256 0.750 0.253
S 0.582 0.250 0.335
S 0.418 0.750 0.665

Properties
* electronic total energy: -6.18 eV per atom
* space group: No. 11
* raw formation energy: -6.9 kcal/mol of atoms

=====

Entry 10:
Computed, not measured: LiAs2Pb2 after structural relaxation at the GGA-PBE level of DFT.

Cell: 8.269 8.269 3.798 Å, 90.00 90.00 90.00°
Element x y z (fractional)
Pb 0.355 0.855 0.000
Pb 0.855 0.645 0.000
Pb 0.645 0.145 0.000
Pb 0.145 0.355 0.000
As 0.153 0.653 0.500
As 0.653 0.847 0.500
As 0.847 0.347 0.500
As 0.347 0.153 0.500
Li 0.000 0.000 0.000
Li 0.500 0.500 0.000

Properties
* polymorph energy (0 for the lowest one): 0.544 eV per formula unit
* energy of formation from the pure elements: 0.07 eV/atom
* electronic total energy: -3.66 eV per atom
* space group: No. 127

=====

Entry 11:
Computed, not measured: AcZn4GaCu2 after structural relaxation at the GGA-PBE level of DFT.

Cell: 4.274 4.274 9.767 Å, 77.36 77.36 60.00°
Element x y z (fractional)
Ac 0.000 0.000 0.000
Zn 0.408 0.408 0.776
Zn 0.877 0.877 0.370
Zn 0.123 0.123 0.630
Zn 0.592 0.592 0.224
Ga 0.500 0.500 0.500
Cu 0.761 0.761 0.716
Cu 0.239 0.239 0.284

Properties
* energy of formation from the pure elements: -0.12 eV/atom
* electronic total energy: -2.67 eV per atom
* space group: No. 166

=====

Entry 12:
Computed, not measured: Au2ICl after structural relaxation at the GGA-PBE level of DFT.

Cell: 6.180 6.180 7.846 Å, 66.81 66.81 90.00°
Element x y z (fractional)
I 0.000 0.000 0.000
I 0.750 0.250 0.500
Au 0.618 0.125 0.250
Au 0.132 0.625 0.250
Au 0.375 0.382 0.750
Au 0.875 0.868 0.750
Cl 0.500 0.500 0.000
Cl 0.250 0.750 0.500

Properties
* polymorph energy (0 for the lowest one): 0.000 eV per formula unit
* electronic total energy: -2.40 eV per atom
* space group: No. 122
* raw formation energy: 2.0 kcal/mol of atoms

=====

Entry 13:
Computed, not measured: YRe2Au2 after structural relaxation at the GGA-PBE level of DFT.

Cell: 4.300 4.300 6.342 Å, 70.18 70.18 90.00°
Element x y z (fractional)
Y 0.000 0.000 0.000
Re 0.399 0.399 0.201
Re 0.601 0.601 0.799
Au 0.750 0.250 0.500
Au 0.250 0.750 0.500

Properties
* polymorph energy (0 for the lowest one): 0.703 eV per formula unit
* energy of formation from the pure elements: 0.22 eV/atom
* electronic total energy: -7.37 eV per atom
* space group: No. 139

=====

Entry 14:
Computed, not measured: V2CrI after structural relaxation at the GGA-PBE level of DFT.

Cell: 4.452 4.452 4.452 Å, 60.00 60.00 60.00°
Site moments in Bohr magnetons follow the coordinates.
Element x y z (fractional)
I 0.500 0.500 0.500  0.05
Cr 0.000 0.000 0.000  2.32
V 0.250 0.250 0.250  -1.25
V 0.750 0.750 0.750  -1.25

Properties
* polymorph energy (0 for the lowest one): 0.000 eV per formula unit
* electronic total energy: -6.59 eV per atom
* space group: No. 225
* raw formation energy: 17.6 kcal/mol of atoms

=====

Entry 15:
Computed, not measured: TlNi3C after structural relaxation at the GGA-PBE level of DFT.

Cell: 3.907 3.907 3.907 Å, 90.00 90.00 90.00°
Element x y z (fractional)
Ni 0.000 0.500 0.000
Ni 0.000 0.000 0.500
Ni 0.500 0.000 0.000
Tl 0.500 0.500 0.500
C 0.000 0.000 0.000

Properties
* polymorph energy (0 for the lowest one): 0.000 eV per formula unit
* energy of formation from the pure elements: 0.17 eV/atom
* electronic total energy: -5.62 eV per atom
* space group: No. 221

=====

Entry 16:
Computed, not measured: Zr2AlSe after structural relaxation at the GGA-PBE level of DFT.

Cell: 4.002 5.089 3.901 Å, 90.00 90.00 90.00°
Element x y z (fractional)
Se 0.000 0.500 0.500
Zr 0.000 0.000 0.000
Zr 0.500 0.500 0.000
Al 0.500 0.000 0.500

Properties
* polymorph energy (0 for the lowest one): 0.957 eV per formula unit
* electronic total energy: -6.53 eV per atom
* space group: No. 47
* raw formation energy: -10.4 kcal/mol of atoms

=====

Entry 17:
Computed, not measured: Nd4Te2Rh after structural relaxation at the GGA-PBE level of DFT.

Cell: 4.126 7.841 8.262 Å, 112.06 90.00 90.00°
Element x y z (fractional)
Nd 0.500 0.153 0.882
Nd 0.000 0.438 0.333
Nd 0.500 0.990 0.261
Nd 0.000 0.705 0.810
Te 0.500 0.358 0.611
Te 0.500 0.785 0.532
Rh 0.000 0.071 0.071

Properties
* electronic total energy: -5.53 eV per atom
* space group: No. 10
* raw formation energy: -19.7 kcal/mol of atoms

=====

Entry 18:
Computed, not measured: RbSnS2 after structural relaxation at the GGA-PBE level of DFT.

Cell: 7.319 7.319 7.611 Å, 61.26 61.26 90.00°
Element x y z (fractional)
S 0.718 0.125 0.250
S 0.032 0.625 0.250
S 0.375 0.282 0.750
S 0.875 0.968 0.750
Sn 0.000 0.000 0.000
Sn 0.750 0.250 0.500
Rb 0.500 0.500 0.000
Rb 0.250 0.750 0.500

Properties
* electronic total energy: -3.99 eV per atom
* space group: No. 122
* raw formation energy: -15.8 kcal/mol of atoms

=====

Entry 19:
Computed, not measured: VNi2Au after structural relaxation at the GGA-PBE level of DFT.

Cell: 4.209 4.209 4.209 Å, 60.00 60.00 60.00°
Site moments in Bohr magnetons follow the coordinates.
Element x y z (fractional)
Ni 0.250 0.250 0.250  0.17
Ni 0.750 0.750 0.750  0.17
Au 0.000 0.000 0.000  0.00
V 0.500 0.500 0.500  0.49

Properties
* polymorph energy (0 for the lowest one): 0.198 eV per formula unit
* energy of formation from the pure elements: -0.01 eV/atom
* electronic total energy: -6.00 eV per atom
* space group: No. 225

=====

Entry 20:
Computed, not measured: Zr2TcO after structural relaxation at the GGA-PBE level of DFT.

Cell: 6.233 6.233 5.752 Å, 57.19 57.19 90.00°
Element x y z (fractional)
O 0.500 0.500 0.000
O 0.250 0.750 0.500
Tc 0.000 0.000 0.000
Tc 0.750 0.250 0.500
Zr 0.553 0.125 0.250
Zr 0.197 0.625 0.250
Zr 0.375 0.447 0.750
Zr 0.875 0.803 0.750

Properties
* electronic total energy: -9.01 eV per atom
* space group: No. 122
* raw formation energy: -20.8 kcal/mol of atoms

=====

Entry 21:
Computed, not measured: SbRh2Pb after structural relaxation at the GGA-PBE level of DFT.

Cell: 3.733 3.733 5.561 Å, 90.00 90.00 90.00°
Element x y z (fractional)
Sb 0.000 0.000 0.434
Rh 0.000 0.000 0.960
Rh 0.500 0.500 0.300
Pb 0.500 0.500 0.806

Properties
* polymorph energy (0 for the lowest one): 0.683 eV per formula unit
* electronic total energy: -5.79 eV per atom
* space group: No. 99
* raw formation energy: -3.6 kcal/mol of atoms

=====

Entry 22:
Computed, not measured: LaCrTc2 after structural relaxation at the GGA-PBE level of DFT.

Cell: 5.332 5.332 2.932 Å, 77.27 77.27 113.96°
Site moments in Bohr magnetons follow the coordinates.
Element x y z (fractional)
Cr 0.500 0.000 0.500  2.50
La 0.000 0.500 0.500  0.00
Tc 0.000 0.000 0.000  -0.39
Tc 0.500 0.500 0.000  -0.39

Properties
* polymorph energy (0 for the lowest one): 1.217 eV per formula unit
* energy of formation from the pure elements: 0.60 eV/atom
* electronic total energy: -8.22 eV per atom
* space group: No. 12

=====

Entry 23:
Computed, not measured: Ca2CdI6 after structural relaxation at the GGA-PBE level of DFT.

Cell: 4.449 8.605 11.552 Å, 109.88 90.00 104.98°
Element x y z (fractional)
Ca 0.665 0.331 0.831
Ca 0.334 0.669 0.169
Cd 0.000 0.000 0.500
I 0.308 0.616 0.884
I 0.692 0.384 0.116
I 0.977 0.954 0.226
I 0.634 0.269 0.545
I 0.023 0.046 0.774
I 0.366 0.731 0.455

Properties
* electronic total energy: -2.84 eV per atom
* space group: No. 12
* raw formation energy: -29.2 kcal/mol of atoms

=====

Entry 24:
Computed, not measured: Li2La2TbIn5 after structural relaxation at the GGA-PBE level of DFT.

Cell: 4.578 10.478 10.478 Å, 90.00 90.00 90.00°
Element x y z (fractional)
Li 0.000 0.115 0.615
Li 0.000 0.885 0.385
Li 0.000 0.615 0.885
Li 0.000 0.385 0.115
La 0.000 0.679 0.179
La 0.000 0.321 0.821
La 0.000 0.179 0.321
La 0.000 0.821 0.679
Tb 0.000 0.000 0.000
Tb 0.000 0.500 0.500
In 0.500 0.212 0.065
In 0.500 0.788 0.935
In 0.500 0.065 0.788
In 0.500 0.712 0.435
In 0.500 0.935 0.212
In 0.500 0.288 0.565
In 0.500 0.565 0.712
In 0.500 0.435 0.288
In 0.500 0.500 0.000
In 0.500 0.000 0.500

Properties
* energy of formation from the pure elements: -0.45 eV/atom
* electronic total energy: -3.65 eV per atom
* space group: No. 127

=====

Entry 25:
Computed, not measured: Ca3Tc after structural relaxation at the GGA-PBE level of DFT.

Cell: 3.254 5.194 6.427 Å, 90.00 90.00 90.00°
Element x y z (fractional)
Ca 0.000 0.000 0.061
Ca 0.500 0.000 0.496
Ca 0.500 0.500 0.800
Tc 0.000 0.500 0.309

Properties
* energy of formation from the pure elements: 0.63 eV/atom
* electronic total energy: -3.46 eV per atom
* space group: No. 25